[1]
This record from the Open Quantum Materials Database describes an optimized crystal structure of Cd2AgSn3. The functional is GGA-PBE.

Cell: 6.113 6.113 5.198 Å, 90.00 90.00 120.11°
Element x y z (fractional)
Ag: 0.000 0.000 0.000
Cd: 0.666 0.334 0.000
Cd: 0.334 0.666 0.000
Sn: 0.500 0.000 0.500
Sn: 0.000 0.500 0.500
Sn: 0.500 0.500 0.500

energy: -2.466 eV per atom



[2]
This record from the Open Quantum Materials Database describes an optimized crystal structure of SrCd2Ag. The functional is GGA-PBE.

Cell: 5.208 5.208 5.208 Å, 60.00 60.00 60.00°
Element x y z (fractional)
Ag: 0.750 0.750 0.750
Cd: 0.250 0.250 0.250
Cd: 0.500 0.500 0.500
Sr: 0.000 0.000 0.000

energy: -1.787 eV per atom



[3]
This record from the Open Quantum Materials Database describes an optimized crystal structure of SrCd2Ag2. The functional is GGA-PBE.

Cell: 6.925 6.925 6.925 Å, 141.85 141.85 55.06°
Element x y z (fractional)
Ag: 0.391 0.391 0.000
Ag: 0.609 0.609 0.000
Cd: 0.750 0.250 0.500
Cd: 0.250 0.750 0.500
Sr: 0.000 0.000 0.000

energy: -2.069 eV per atom



[4]
This record from the Open Quantum Materials Database describes an optimized crystal structure of SrCd8Ag4. The functional is GGA-PBE.

Cell: 7.627 7.627 7.627 Å, 98.01 98.01 136.15°
Element x y z (fractional)
Ag: 0.500 0.000 0.000
Ag: 0.000 0.500 0.000
Ag: 0.000 0.000 0.500
Ag: 0.500 0.500 0.500
Cd: 0.717 0.500 0.217
Cd: 0.500 0.717 0.217
Cd: 0.350 0.000 0.350
Cd: 0.000 0.350 0.350
Cd: 0.650 0.000 0.650
Cd: 0.000 0.650 0.650
Cd: 0.500 0.283 0.783
Cd: 0.283 0.500 0.783
Sr: 0.000 0.000 0.000

energy: -1.716 eV per atom



[5]
This record from the Open Quantum Materials Database describes an optimized crystal structure of TaCdAg2. The functional is GGA-PBE.

Cell: 4.691 4.691 4.691 Å, 60.00 60.00 60.00°
Element x y z (fractional)
Ag: 0.000 0.000 0.000
Ag: 0.250 0.250 0.250
Cd: 0.500 0.500 0.500
Ta: 0.750 0.750 0.750

formation energy from the elements: 0.47 eV per atom



[6]
This record from the Open Quantum Materials Database describes an optimized crystal structure of TaCdAg. The functional is GGA-PBE.

Cell: 4.556 4.556 4.556 Å, 60.00 60.00 60.00°
Element x y z (fractional)
Ag: 0.000 0.000 0.000
Cd: 0.500 0.500 0.500
Ta: 0.750 0.750 0.750

formation energy from the elements: 1.04 eV per atom



[7]
This record from the Open Quantum Materials Database describes an optimized crystal structure of TaCdAg. The functional is GGA-PBE.

Cell: 4.459 4.459 4.459 Å, 60.00 60.00 60.00°
Element x y z (fractional)
Ag: 0.000 0.000 0.000
Cd: 0.250 0.250 0.250
Ta: 0.750 0.750 0.750

formation energy from the elements: 0.76 eV per atom



[8]
This record from the Open Quantum Materials Database describes an optimized crystal structure of TbCd6Ag. The functional is GGA-PBE.

Cell: 6.480 6.480 4.931 Å, 90.00 90.00 120.00°
Element x y z (fractional)
Ag: 0.000 0.000 0.000
Cd: 0.504 0.008 0.000
Cd: 0.504 0.496 0.000
Cd: 0.992 0.496 0.000
Cd: 0.334 0.167 0.500
Cd: 0.833 0.167 0.500
Cd: 0.833 0.666 0.500
Tb: 0.333 0.667 0.500

formation energy from the elements: -0.11 eV per atom



[9]
This record from the Open Quantum Materials Database describes an optimized crystal structure of TbCdAg4. The functional is GGA-PBE.

Cell: 5.581 5.581 5.581 Å, 60.06 60.06 60.06°
Element x y z (fractional)
Ag: 0.625 0.625 0.124
Ag: 0.625 0.124 0.625
Ag: 0.124 0.625 0.625
Ag: 0.625 0.625 0.625
Cd: 0.999 0.999 0.999
Tb: 0.250 0.250 0.250

formation energy from the elements: -0.22 eV per atom



[10]
This record from the Open Quantum Materials Database describes an optimized crystal structure of TbCdAg2. The functional is GGA-PBE.

Cell: 5.055 6.751 5.038 Å, 90.00 90.00 90.00°
Element x y z (fractional)
Ag: 0.000 0.244 0.305
Ag: 0.000 0.756 0.305
Ag: 0.500 0.256 0.695
Ag: 0.500 0.744 0.695
Cd: 0.500 0.500 0.214
Cd: 0.000 0.000 0.786
Tb: 0.500 0.000 0.195
Tb: 0.000 0.500 0.805

formation energy from the elements: -0.30 eV per atom



[11]
This record from the Open Quantum Materials Database describes an optimized crystal structure of TbCdAgTe3. The functional is GGA-PBE.

Cell: 8.324 4.260 10.172 Å, 90.00 102.26 90.00°
Element x y z (fractional)
Ag: 0.913 0.750 0.418
Ag: 0.087 0.250 0.582
Cd: 0.223 0.250 0.286
Cd: 0.777 0.750 0.714
Tb: 0.686 0.250 0.178
Tb: 0.314 0.750 0.822
Te: 0.405 0.750 0.141
Te: 0.942 0.750 0.149
Te: 0.713 0.250 0.488
Te: 0.287 0.750 0.512
Te: 0.058 0.250 0.851
Te: 0.595 0.250 0.859

energy: -3.602 eV per atom



[12]
This record from the Open Quantum Materials Database describes an optimized crystal structure of TbTmCd2Ag4. The functional is GGA-PBE.

Cell: 4.928 4.928 6.970 Å, 90.00 90.00 90.00°
Element x y z (fractional)
Ag: 0.500 0.000 0.244
Ag: 0.000 0.500 0.244
Ag: 0.500 0.000 0.756
Ag: 0.000 0.500 0.756
Cd: 0.000 0.000 0.000
Cd: 0.500 0.500 0.500
Tb: 0.000 0.000 0.500
Tm: 0.500 0.500 0.000

formation energy from the elements: -0.29 eV per atom



Ordered volume results: 168, 100, 126, 285, 73, 67, 63, 179, 123, 172, 352, 169; unit Å³ per cell.